[1]
Here is a relaxed structure of NiN2F from Alexandria. Energies are from PBE+U.

Cell and atoms, written as extended XYZ:
```
4
Lattice="1.263 1.421 3.017 -1.976 -0.069 2.967 0.932 -2.117 2.714" Properties=species:S:1:pos:R:3 pbc="T T T"
Ni 0.109 -0.382 4.349
N 0.055 -0.191 2.175
N 0.164 -0.573 6.524
F 0.000 0.000 0.000
```

Summary:
D(E_F)   3.27 states/eV/cell
Spin magnetization   0.0 Bohr magnetons per cell
Crystal system   cubic
Raw total energy   -12.8 eV per formula unit
Symmetry   Fm-3m, No. 225
Energy above the most stable polymorph in this dataset   3.99 eV/f.u.

[2]
Here is a relaxed structure of NiN2F4 from Alexandria. Energies are from PBE+U.

Cell and atoms, written as extended XYZ:
```
7
Lattice="-1.905 1.905 8.382 1.905 -1.905 8.382 1.905 1.905 -8.382" Properties=species:S:1:pos:R:3 pbc="T T T"
Ni 0.000 0.000 0.000
N 0.000 0.000 5.906
N 0.000 0.000 10.858
F 0.000 0.000 4.564
F 0.000 0.000 12.200
F 1.905 0.000 0.000
F 0.000 1.905 0.000
```

Summary:
D(E_F)   0.00 states/eV/cell
Spin magnetization   6.0 Bohr magnetons per cell
Crystal system   tetragonal
Raw total energy   -27.2 eV per formula unit
Symmetry   I4/mmm, No. 139
Energy above the most stable polymorph in this dataset   5.44 eV/f.u.

[3]
Here is a relaxed structure of NiN2F from Alexandria. Energies are from PBE+U.

Cell and atoms, written as extended XYZ:
```
4
Lattice="-5.405 -0.066 0.328 -4.471 -2.534 1.706 -4.417 0.078 3.132" Properties=species:S:1:pos:R:3 pbc="T T T"
Ni -7.146 -1.261 2.583
N -12.680 -2.237 4.583
N -1.613 -0.285 0.583
F 0.000 0.000 0.000
```

Summary:
D(E_F)   1.61 states/eV/cell
Spin magnetization   0.0 Bohr magnetons per cell
Crystal system   trigonal
Raw total energy   -16.8 eV per formula unit
Symmetry   R-3m, No. 166
Energy above the most stable polymorph in this dataset   0.00 eV/f.u.

[4]
Here is a relaxed structure of NiN2F from Alexandria. Energies are from PBE+U.

Cell and atoms, written as extended XYZ:
```
8
Lattice="4.726 0.000 0.000 0.000 4.726 0.000 2.363 2.363 4.019" Properties=species:S:1:pos:R:3 pbc="T T T"
Ni 0.000 0.000 0.000
Ni 4.726 2.363 2.009
N 3.919 1.181 1.005
N 0.807 3.544 1.005
N 3.544 3.170 3.014
N 5.907 6.282 3.014
F 2.363 2.363 0.000
F 2.363 4.726 2.009
```

Summary:
D(E_F)   4.60 states/eV/cell
Spin magnetization   0.0 Bohr magnetons per cell
Crystal system   tetragonal
Raw total energy   -15.0 eV per formula unit
Symmetry   I-42d, No. 122
Energy above the most stable polymorph in this dataset   1.78 eV/f.u.

[5]
Here is a relaxed structure of Ni3NF from Alexandria. Energies are from PBE+U.

Cell and atoms, written as extended XYZ:
```
5
Lattice="3.843 0.000 0.000 0.000 3.843 0.000 0.000 0.000 3.843" Properties=species:S:1:pos:R:3 pbc="T T T"
Ni 0.000 1.921 0.000
Ni 0.000 0.000 1.921
Ni 1.921 0.000 0.000
N 0.000 0.000 0.000
F 1.921 1.921 1.921
```

Summary:
D(E_F)   2.25 states/eV/cell
Spin magnetization   4.0 Bohr magnetons per cell
Crystal system   cubic
Raw total energy   -16.3 eV per formula unit
Symmetry   Pm-3m, No. 221
Energy above the most stable polymorph in this dataset   0.00 eV/f.u.

[6]
Here is a relaxed structure of NiN2F2 from Alexandria. Energies are from PBE+U.

Cell and atoms, written as extended XYZ:
```
10
Lattice="6.450 0.000 0.000 0.000 6.450 0.000 0.000 0.000 2.318" Properties=species:S:1:pos:R:3 pbc="T T T"
Ni 0.000 0.000 0.000
Ni 3.225 3.225 0.000
N 1.477 4.702 1.159
N 4.702 4.973 1.159
N 4.973 1.748 1.159
N 1.748 1.477 1.159
F 2.456 5.681 0.000
F 5.681 3.994 0.000
F 3.994 0.769 0.000
F 0.769 2.456 0.000
```

Summary:
D(E_F)   8.31 states/eV/cell
Spin magnetization   0.0 Bohr magnetons per cell
Crystal system   tetragonal
Raw total energy   -12.8 eV per formula unit
Symmetry   P4/mbm, No. 127
Energy above the most stable polymorph in this dataset   7.76 eV/f.u.